(1)
Ba2SbTe: optimized geometry, PBE.

## Properties
The value obtained for the density of states at the Fermi level is 8.623 states/eV per cell. The formation energy from raw total energies comes out at -1031 meV/atom.

Lattice parameters (Å, degrees): 9.2178 9.2178 8.1735 90.00 90.00 90.00
Space group I-42d (No. 122)
Asymmetric unit:
1 Ba 0.2493 0.2500 0.1250 x8
2 Sb 0.0000 0.0000 0.5000 x4
3 Te 0.0000 0.0000 0.0000 x4



(2)
BaSbTe3: optimized geometry, PBE.

## Properties
The value obtained for the density of states at the Fermi level is 5.678 states/eV per cell. The formation energy from raw total energies comes out at -655 meV/atom.

Lattice parameters (Å, degrees): 9.0837 4.4418 9.7712 90.00 101.94 90.00
Space group P2_1/m (No. 11)
Asymmetric unit:
1 Ba 0.1786 0.2500 0.2816 x2
2 Sb 0.3174 0.7500 0.8614 x2
3 Te 0.1051 0.2500 0.9118 x2
4 Te 0.1444 0.7500 0.5618 x2
5 Te 0.4483 0.7500 0.1799 x2



> Number 1 is which compound?

Ba2SbTe



> Look up the formation energy from raw total energies of the second one.

-655 meV/atom



> What is the formula in the first record?

Ba2SbTe



Copy entry 1 word for word.
Ba2SbTe: optimized geometry, PBE.

## Properties
The value obtained for the density of states at the Fermi level is 8.623 states/eV per cell. The formation energy from raw total energies comes out at -1031 meV/atom.

Lattice parameters (Å, degrees): 9.2178 9.2178 8.1735 90.00 90.00 90.00
Space group I-42d (No. 122)
Asymmetric unit:
1 Ba 0.2493 0.2500 0.1250 x8
2 Sb 0.0000 0.0000 0.5000 x4
3 Te 0.0000 0.0000 0.0000 x4